# 1
Density functional theory data (PBE-GGA) for a relaxed structure of Cs2Cd4Pt.

**Formation enthalpy at 0 K**: -0.148 eV per atom
**Space-group type**: Cmmm, No. 65
**Distance to the lowest polymorph of the same formula**: 0.05 eV per formula unit
**Mass density**: 5.94 g/cm3
**N(E_F)**: 2.87 states/eV/cell

Unit cell a=5.390 b=5.467 c=9.055 alpha=107.57 beta=90.00 gamma=90.00
Fractional coordinates of all 7 atoms:
Cs  0.500  0.343  0.686
Cs  0.500  0.657  0.314
Pt  0.000  0.000  0.000
Cd  0.000  0.500  0.000
Cd  0.500  0.000  0.000
Cd  0.000  0.157  0.315
Cd  0.000  0.843  0.685

# 2
Density functional theory data (PBE-GGA) for a relaxed structure of Pr3DyMg3.

**Formation enthalpy at 0 K**: 0.065 eV per atom
**Space-group type**: Cmmm, No. 65
**Distance to the lowest polymorph of the same formula**: 0.00 eV per formula unit
**Mass density**: 4.92 g/cm3
**N(E_F)**: 11.90 states/eV/cell

Unit cell a=7.892 b=7.892 c=7.144 alpha=90.00 beta=90.00 gamma=87.12
Fractional coordinates of all 14 atoms:
Pr  0.000  0.000  0.753
Pr  0.000  0.500  0.255
Pr  0.500  0.000  0.255
Pr  0.000  0.500  0.745
Pr  0.500  0.000  0.745
Pr  0.000  0.000  0.247
Dy  0.686  0.314  0.000
Dy  0.314  0.686  0.000
Mg  0.721  0.279  0.500
Mg  0.325  0.325  0.500
Mg  0.675  0.675  0.500
Mg  0.258  0.258  0.000
Mg  0.742  0.742  0.000
Mg  0.279  0.721  0.500